An optimized crystal structure of YCdOs2. Source: the Alexandria database, functional PBEsol.

Values from the calculation:
As for the space group: P2/m (10). The size of the total moment comes out at 0.00 μB/cell. The calculation puts the final energy at -7.634 eV/atom.

```
YCdOs2
1.0
2.8243 0.0000 0.0000
0.0000 4.7218 0.0000
-0.5236 0.0000 5.2549
Y Cd Os
1 1 2
Direct
0.0000 0.0000 0.0000
0.5000 0.0000 0.5000
0.2846 0.5000 0.7226
0.7154 0.5000 0.2774
```